(1)
{"formula": "PbWC2", "functional": "PBE", "state": "relaxed", "dos_at_fermi_per_ev_atom": 0.18, "space_group": "No. 122", "magmom_total_mub_per_fu": 0.00, "crystal_system": "tetragonal", "ef_ev_per_atom": 0.90, "cell": [[-0.073, -1.498, -5.232], [0.163, -5.231, 1.495], [-4.791, -3.485, -1.767]], "species": ["Pb", "Pb", "C", "C", "C", "C", "W", "W"], "frac_coords": [[0.000, 0.000, 0.000], [0.750, 0.250, 0.500], [0.518, 0.125, 0.250], [0.232, 0.625, 0.250], [0.375, 0.482, 0.750], [0.875, 0.768, 0.750], [0.500, 0.500, 0.000], [0.250, 0.750, 0.500]]}

(2)
{"formula": "PbWC3", "functional": "PBE", "state": "relaxed", "dos_at_fermi_per_ev_atom": 0.86, "de_polymorph_ev_per_atom": 2.279, "space_group": "No. 221", "magmom_total_mub_per_fu": 1.20, "crystal_system": "cubic", "ef_ev_per_atom": 3.89, "cell": [[4.277, 0.000, 0.000], [0.000, 4.277, 0.000], [0.000, 0.000, 4.277]], "species": ["Pb", "C", "C", "C", "W"], "frac_coords": [[0.000, 0.000, 0.000], [0.000, 0.500, 0.000], [0.000, 0.000, 0.500], [0.500, 0.000, 0.000], [0.500, 0.500, 0.500]]}

(3)
{"formula": "Y2PbWC", "functional": "PBE", "state": "relaxed", "dos_at_fermi_per_ev_atom": 0.44, "space_group": "No. 123", "magmom_total_mub_per_fu": 0.00, "crystal_system": "tetragonal", "ef_ev_per_atom": -0.22, "cell": [[-1.735, 3.153, 3.510], [-3.234, -3.518, 1.561], [2.827, -1.415, 2.668]], "species": ["Pb", "Y", "Y", "C", "W"], "frac_coords": [[0.500, 0.500, 0.500], [0.000, 0.500, 0.000], [0.500, 0.000, 0.000], [0.000, 0.000, 0.000], [0.000, 0.000, 0.500]]}

Final energy / eV per atom: -7.878; -4.978; -7.982